1.
First-principles (PBE) data for a relaxed structure of CoP2N, as listed in the Alexandria database.

```
data_CoP2N
_chemical_formula_sum 'Co1 P2 N1'
_cell_length_a 3.665
_cell_length_b 2.756
_cell_length_c 4.563
_cell_angle_alpha 90.00
_cell_angle_beta 93.29
_cell_angle_gamma 90.00
_space_group_name_H-M_alt 'P 1 m 1'
_space_group_IT_number 6
_space_group_name_Hall 'P -2y'
loop_
_atom_site_label
_atom_site_type_symbol
_atom_site_fract_x
_atom_site_fract_y
_atom_site_fract_z
Co1 Co 0.000 0.000 0.000
P1 P 0.113 0.000 0.495
P2 P 0.518 0.500 0.929
N1 N 0.412 0.500 0.543
```

Output
* total magnetization: 0.007 μB per atom
* energy relative to the elements, uncorrected: -0.35 eV/f.u.



2.
First-principles (PBE) data for a relaxed structure of Pm2CoP2N6, as listed in the Alexandria database.

```
data_Pm2CoP2N6
_chemical_formula_sum 'Pm6 Co3 P6 N18'
_cell_length_a 5.3958
_cell_length_b 5.3958
_cell_length_c 15.4058
_cell_angle_alpha 90.00
_cell_angle_beta 90.00
_cell_angle_gamma 120.00
_space_group_name_H-M_alt 'R -3 m'
_space_group_IT_number 166
_space_group_name_Hall '-R 3 2"'
loop_
_atom_site_label
_atom_site_type_symbol
_atom_site_fract_x
_atom_site_fract_y
_atom_site_fract_z
Pm1 Pm 0.0000 0.0000 0.2175
Co1 Co 0.0000 0.0000 0.0000
P1 P 0.0000 0.0000 0.4297
N1 N 0.0096 0.5048 0.7481
```

Output
* total magnetization: 0.082 μB per atom
* energy relative to the elements, uncorrected: -6.19 eV/f.u.



3.
First-principles (PBE) data for a relaxed structure of PmCo2PN, as listed in the Alexandria database.

```
data_PmCo2PN
_chemical_formula_sum 'Pm4 Co8 P4 N4'
_cell_length_a 3.593
_cell_length_b 10.802
_cell_length_c 6.720
_cell_angle_alpha 90.00
_cell_angle_beta 90.00
_cell_angle_gamma 90.00
_space_group_name_H-M_alt 'C m c m'
_space_group_IT_number 63
_space_group_name_Hall '-C 2c 2'
loop_
_atom_site_label
_atom_site_type_symbol
_atom_site_fract_x
_atom_site_fract_y
_atom_site_fract_z
Pm1 Pm 0.000 0.041 0.250
Co1 Co 0.000 0.330 0.054
P1 P 0.000 0.230 0.750
N1 N 0.000 0.500 0.000
```

Output
* total magnetization: 0.243 μB per atom
* energy relative to the elements, uncorrected: -4.41 eV/f.u.



4.
First-principles (PBE) data for a relaxed structure of PmCoPN, as listed in the Alexandria database.

```
data_PmCoPN
_chemical_formula_sum 'Pm2 Co2 P2 N2'
_cell_length_a 3.718
_cell_length_b 3.718
_cell_length_c 7.981
_cell_angle_alpha 90.00
_cell_angle_beta 90.00
_cell_angle_gamma 90.00
_space_group_name_H-M_alt 'P 4/n m m'
_space_group_IT_number 129
loop_
_space_group_symop_operation_xyz
'x,y,z'
'-x,-y,-z'
'-y+1/2,x,z'
'y+1/2,-x,-z'
'-x+1/2,-y+1/2,z'
'x+1/2,y+1/2,-z'
'y,-x+1/2,z'
'-y,x+1/2,-z'
'x+1/2,-y,-z'
'-x+1/2,y,z'
'-y,-x,-z'
'y,x,z'
'-x,y+1/2,-z'
'x,-y+1/2,z'
'y+1/2,x+1/2,-z'
'-y+1/2,-x+1/2,z'
loop_
_atom_site_label
_atom_site_type_symbol
_atom_site_fract_x
_atom_site_fract_y
_atom_site_fract_z
Pm1 Pm 0.250 0.250 0.168
Co1 Co 0.250 0.750 0.500
P1 P 0.250 0.250 0.649
N1 N 0.250 0.250 0.864
```

Output
* total magnetization: 0.059 μB per atom
* energy relative to the elements, uncorrected: -4.70 eV/f.u.



5.
First-principles (PBE) data for a relaxed structure of Pm2Co2P2N, as listed in the Alexandria database.

```
data_Pm2Co2P2N
_chemical_formula_sum 'Pm4 Co4 P4 N2'
_cell_length_a 10.890
_cell_length_b 3.729
_cell_length_c 6.681
_cell_angle_alpha 90.00
_cell_angle_beta 125.36
_cell_angle_gamma 90.00
_space_group_name_H-M_alt 'C 1 2/m 1'
_space_group_IT_number 12
_space_group_name_Hall '-C 2y'
loop_
_atom_site_label
_atom_site_type_symbol
_atom_site_fract_x
_atom_site_fract_y
_atom_site_fract_z
Pm1 Pm 0.058 0.000 0.294
Co1 Co 0.198 0.500 0.082
P1 P 0.182 0.500 0.727
N1 N 0.000 0.500 0.000
```

Output
* total magnetization: 0.094 μB per atom
* energy relative to the elements, uncorrected: -7.11 eV/f.u.



6.
First-principles (PBE) data for a relaxed structure of PrCo2PN, as listed in the Alexandria database.

```
data_PrCo2PN
_chemical_formula_sum 'Pr4 Co8 P4 N4'
_cell_length_a 3.655
_cell_length_b 10.822
_cell_length_c 6.773
_cell_angle_alpha 90.00
_cell_angle_beta 90.00
_cell_angle_gamma 90.00
_space_group_name_H-M_alt 'C m c m'
_space_group_IT_number 63
_space_group_name_Hall '-C 2c 2'
loop_
_atom_site_label
_atom_site_type_symbol
_atom_site_fract_x
_atom_site_fract_y
_atom_site_fract_z
Pr1 Pr 0.000 0.043 0.250
Co1 Co 0.000 0.330 0.055
P1 P 0.000 0.229 0.750
N1 N 0.000 0.500 0.000
```

Output
* total magnetization: 0.269 μB per atom
* energy relative to the elements, uncorrected: -4.11 eV/f.u.



7.
First-principles (PBE) data for a relaxed structure of PuCo2PN, as listed in the Alexandria database.

```
data_PuCo2PN
_chemical_formula_sum 'Pu4 Co8 P4 N4'
_cell_length_a 3.500
_cell_length_b 10.764
_cell_length_c 6.598
_cell_angle_alpha 90.00
_cell_angle_beta 90.00
_cell_angle_gamma 90.00
_space_group_name_H-M_alt 'C m c m'
_space_group_IT_number 63
_space_group_name_Hall '-C 2c 2'
loop_
_atom_site_label
_atom_site_type_symbol
_atom_site_fract_x
_atom_site_fract_y
_atom_site_fract_z
Pu1 Pu 0.000 0.038 0.250
Co1 Co 0.000 0.327 0.055
P1 P 0.000 0.231 0.750
N1 N 0.000 0.500 0.000
```

Output
* total magnetization: 0.724 μB per atom
* energy relative to the elements, uncorrected: -4.34 eV/f.u.



8.
First-principles (PBE) data for a relaxed structure of Pu2CoP2N6, as listed in the Alexandria database.

```
data_Pu2CoP2N6
_chemical_formula_sum 'Pu6 Co3 P6 N18'
_cell_length_a 5.3450
_cell_length_b 5.3450
_cell_length_c 15.3677
_cell_angle_alpha 90.00
_cell_angle_beta 90.00
_cell_angle_gamma 120.00
_space_group_name_H-M_alt 'R -3 m'
_space_group_IT_number 166
_space_group_name_Hall '-R 3 2"'
loop_
_atom_site_label
_atom_site_type_symbol
_atom_site_fract_x
_atom_site_fract_y
_atom_site_fract_z
Pu1 Pu 0.0000 0.0000 0.2180
Co1 Co 0.0000 0.0000 0.0000
P1 P 0.0000 0.0000 0.4310
N1 N 0.0127 0.5064 0.7493
```

Output
* total magnetization: 0.818 μB per atom
* energy relative to the elements, uncorrected: -4.67 eV/f.u.



9.
First-principles (PBE) data for a relaxed structure of Co2RePN, as listed in the Alexandria database.

```
data_Co2RePN
_chemical_formula_sum 'Co2 Re1 P1 N1'
_cell_length_a 4.391
_cell_length_b 4.391
_cell_length_c 3.290
_cell_angle_alpha 90.00
_cell_angle_beta 90.00
_cell_angle_gamma 90.00
_space_group_name_H-M_alt 'P 4/m m m'
_space_group_IT_number 123
_space_group_name_Hall '-P 4 2'
loop_
_atom_site_label
_atom_site_type_symbol
_atom_site_fract_x
_atom_site_fract_y
_atom_site_fract_z
Co1 Co 0.000 0.500 0.000
Re1 Re 0.000 0.000 0.500
P1 P 0.500 0.500 0.000
N1 N 0.500 0.500 0.500
```

Output
* total magnetization: 0.992 μB per atom
* energy relative to the elements, uncorrected: 6.16 eV/f.u.



10.
First-principles (PBE) data for a relaxed structure of CoP2RuN, as listed in the Alexandria database.

```
data_CoP2RuN
_chemical_formula_sum 'Co1 P2 Ru1 N1'
_cell_length_a 2.788
_cell_length_b 3.922
_cell_length_c 6.222
_cell_angle_alpha 98.96
_cell_angle_beta 90.22
_cell_angle_gamma 110.34
_space_group_name_H-M_alt 'P 1'
_space_group_IT_number 1
_space_group_name_Hall 'P 1'
loop_
_atom_site_label
_atom_site_type_symbol
_atom_site_fract_x
_atom_site_fract_y
_atom_site_fract_z
Co1 Co 0.000 0.000 0.000
P1 P 0.063 0.126 0.425
P2 P 0.710 0.422 0.885
Ru1 Ru 0.749 0.507 0.269
N1 N 0.128 0.254 0.722
```

Output
* total magnetization: 0.082 μB per atom
* energy relative to the elements, uncorrected: -0.50 eV/f.u.
* energy above the lowest structure with this stoichiometry: 150 meV/atom



11.
First-principles (PBE) data for a relaxed structure of CoP2RuN, as listed in the Alexandria database.

```
data_CoP2RuN
_chemical_formula_sum 'Co2 P4 Ru2 N2'
_cell_length_a 7.392
_cell_length_b 2.767
_cell_length_c 6.507
_cell_angle_alpha 90.00
_cell_angle_beta 117.78
_cell_angle_gamma 90.00
_space_group_name_H-M_alt 'C 1 m 1'
_space_group_IT_number 8
_space_group_name_Hall 'C -2y'
loop_
_atom_site_label
_atom_site_type_symbol
_atom_site_fract_x
_atom_site_fract_y
_atom_site_fract_z
Co1 Co 0.000 0.000 0.000
P1 P 0.112 0.500 0.800
P2 P 0.313 0.000 0.291
Ru1 Ru 0.255 0.000 0.612
N1 N 0.458 0.500 0.291
```

Output
* total magnetization: 0.198 μB per atom
* energy relative to the elements, uncorrected: -0.68 eV/f.u.
* energy above the lowest structure with this stoichiometry: 114 meV/atom



12.
First-principles (PBE) data for a relaxed structure of CoP2RuN, as listed in the Alexandria database.

```
data_CoP2RuN
_chemical_formula_sum 'Co1 P2 Ru1 N1'
_cell_length_a 2.710
_cell_length_b 2.877
_cell_length_c 8.483
_cell_angle_alpha 88.47
_cell_angle_beta 87.24
_cell_angle_gamma 68.79
_space_group_name_H-M_alt 'P 1'
_space_group_IT_number 1
_space_group_name_Hall 'P 1'
loop_
_atom_site_label
_atom_site_type_symbol
_atom_site_fract_x
_atom_site_fract_y
_atom_site_fract_z
Co1 Co 0.000 0.000 0.000
P1 P 0.552 0.033 0.652
P2 P 0.629 0.621 0.161
Ru1 Ru 0.569 0.545 0.439
N1 N 0.037 0.025 0.772
```

Output
* total magnetization: 0.000 μB per atom
* energy relative to the elements, uncorrected: -0.31 eV/f.u.
* energy above the lowest structure with this stoichiometry: 188 meV/atom



13.
First-principles (PBE) data for a relaxed structure of CoP2RuN, as listed in the Alexandria database.

```
data_CoP2RuN
_chemical_formula_sum 'Co1 P2 Ru1 N1'
_cell_length_a 3.407
_cell_length_b 4.279
_cell_length_c 4.385
_cell_angle_alpha 90.11
_cell_angle_beta 109.77
_cell_angle_gamma 96.76
_space_group_name_H-M_alt 'P 1'
_space_group_IT_number 1
_space_group_name_Hall 'P 1'
loop_
_atom_site_label
_atom_site_type_symbol
_atom_site_fract_x
_atom_site_fract_y
_atom_site_fract_z
Co1 Co 0.000 0.000 0.000
P1 P 0.561 0.643 0.099
P2 P 0.625 0.197 0.559
Ru1 Ru 0.306 0.664 0.536
N1 N 0.794 0.295 0.231
```

Output
* total magnetization: 0.000 μB per atom
* energy relative to the elements, uncorrected: -0.35 eV/f.u.
* energy above the lowest structure with this stoichiometry: 179 meV/atom



14.
First-principles (PBE) data for a relaxed structure of CoP2RuN, as listed in the Alexandria database.

```
data_CoP2RuN
_chemical_formula_sum 'Co2 P4 Ru2 N2'
_cell_length_a 8.281
_cell_length_b 2.836
_cell_length_c 6.530
_cell_angle_alpha 90.00
_cell_angle_beta 124.14
_cell_angle_gamma 90.00
_space_group_name_H-M_alt 'C 1 m 1'
_space_group_IT_number 8
_space_group_name_Hall 'C -2y'
loop_
_atom_site_label
_atom_site_type_symbol
_atom_site_fract_x
_atom_site_fract_y
_atom_site_fract_z
Co1 Co 0.000 0.000 0.000
P1 P 0.088 0.500 0.308
P2 P 0.195 0.500 0.865
Ru1 Ru 0.362 0.500 0.294
N1 N 0.050 0.000 0.729
```

Output
* total magnetization: 0.028 μB per atom
* energy relative to the elements, uncorrected: -0.84 eV/f.u.
* energy above the lowest structure with this stoichiometry: 81 meV/atom



15.
First-principles (PBE) data for a relaxed structure of CoP2RuN, as listed in the Alexandria database.

```
data_CoP2RuN
_chemical_formula_sum 'Co2 P4 Ru2 N2'
_cell_length_a 3.131
_cell_length_b 2.786
_cell_length_c 14.391
_cell_angle_alpha 90.00
_cell_angle_beta 90.00
_cell_angle_gamma 90.00
_space_group_name_H-M_alt 'A m m 2'
_space_group_IT_number 38
_space_group_name_Hall 'A 2 -2'
loop_
_atom_site_label
_atom_site_type_symbol
_atom_site_fract_x
_atom_site_fract_y
_atom_site_fract_z
Co1 Co 0.000 0.000 0.000
P1 P 0.000 0.000 0.299
P2 P 0.500 0.000 0.555
Ru1 Ru 0.500 0.000 0.182
N1 N 0.000 0.000 0.868
```

Output
* total magnetization: 0.000 μB per atom
* energy relative to the elements, uncorrected: -1.25 eV/f.u.
* energy above the lowest structure with this stoichiometry: 0 meV/atom



16.
First-principles (PBE) data for a relaxed structure of CoP2RuN, as listed in the Alexandria database.

```
data_CoP2RuN
_chemical_formula_sum 'Co2 P4 Ru2 N2'
_cell_length_a 7.008
_cell_length_b 2.756
_cell_length_c 7.143
_cell_angle_alpha 90.00
_cell_angle_beta 111.57
_cell_angle_gamma 90.00
_space_group_name_H-M_alt 'C 1 m 1'
_space_group_IT_number 8
_space_group_name_Hall 'C -2y'
loop_
_atom_site_label
_atom_site_type_symbol
_atom_site_fract_x
_atom_site_fract_y
_atom_site_fract_z
Co1 Co 0.000 0.000 0.000
P1 P 0.266 0.500 0.143
P2 P 0.362 0.000 0.563
Ru1 Ru 0.050 0.500 0.338
N1 N 0.407 0.500 0.717
```

Output
* total magnetization: 0.198 μB per atom
* energy relative to the elements, uncorrected: -0.66 eV/f.u.
* energy above the lowest structure with this stoichiometry: 118 meV/atom



17.
First-principles (PBE) data for a relaxed structure of CoP2RuN, as listed in the Alexandria database.

```
data_CoP2RuN
_chemical_formula_sum 'Co2 P4 Ru2 N2'
_cell_length_a 10.771
_cell_length_b 2.756
_cell_length_c 3.866
_cell_angle_alpha 90.00
_cell_angle_beta 99.67
_cell_angle_gamma 90.00
_space_group_name_H-M_alt 'C 1 m 1'
_space_group_IT_number 8
_space_group_name_Hall 'C -2y'
loop_
_atom_site_label
_atom_site_type_symbol
_atom_site_fract_x
_atom_site_fract_y
_atom_site_fract_z
Co1 Co 0.000 0.000 0.000
P1 P 0.087 0.500 0.629
P2 P 0.297 0.500 0.930
Ru1 Ru 0.355 0.000 0.441
N1 N 0.136 0.000 0.391
```

Output
* total magnetization: 0.000 μB per atom
* energy relative to the elements, uncorrected: -0.38 eV/f.u.
* energy above the lowest structure with this stoichiometry: 173 meV/atom



18.
First-principles (PBE) data for a relaxed structure of CoP2RuN, as listed in the Alexandria database.

```
data_CoP2RuN
_chemical_formula_sum 'Co2 P4 Ru2 N2'
_cell_length_a 2.752
_cell_length_b 2.910
_cell_length_c 14.763
_cell_angle_alpha 90.00
_cell_angle_beta 90.00
_cell_angle_gamma 90.00
_space_group_name_H-M_alt 'I m m 2'
_space_group_IT_number 44
_space_group_name_Hall 'I 2 -2'
loop_
_atom_site_label
_atom_site_type_symbol
_atom_site_fract_x
_atom_site_fract_y
_atom_site_fract_z
Co1 Co 0.000 0.000 0.000
P1 P 0.000 0.000 0.423
P2 P 0.000 0.500 0.697
Ru1 Ru 0.000 0.000 0.822
N1 N 0.000 0.000 0.131
```

Output
* total magnetization: 0.001 μB per atom
* energy relative to the elements, uncorrected: -1.23 eV/f.u.
* energy above the lowest structure with this stoichiometry: 4 meV/atom



19.
First-principles (PBE) data for a relaxed structure of CoP2RuN, as listed in the Alexandria database.

```
data_CoP2RuN
_chemical_formula_sum 'Co1 P2 Ru1 N1'
_cell_length_a 2.784
_cell_length_b 4.096
_cell_length_c 5.978
_cell_angle_alpha 91.42
_cell_angle_beta 103.32
_cell_angle_gamma 109.73
_space_group_name_H-M_alt 'P 1'
_space_group_IT_number 1
_space_group_name_Hall 'P 1'
loop_
_atom_site_label
_atom_site_type_symbol
_atom_site_fract_x
_atom_site_fract_y
_atom_site_fract_z
Co1 Co 0.000 0.000 0.000
P1 P 0.185 0.795 0.578
P2 P 0.321 0.557 0.082
Ru1 Ru 0.553 0.383 0.723
N1 N 0.996 0.724 0.269
```

Output
* total magnetization: 0.092 μB per atom
* energy relative to the elements, uncorrected: -0.07 eV/f.u.
* energy above the lowest structure with this stoichiometry: 235 meV/atom



20.
First-principles (PBE) data for a relaxed structure of CoPSN, as listed in the Alexandria database.

```
data_CoPSN
_chemical_formula_sum 'Co2 P2 S2 N2'
_cell_length_a 13.593
_cell_length_b 2.722
_cell_length_c 3.566
_cell_angle_alpha 90.00
_cell_angle_beta 97.17
_cell_angle_gamma 90.00
_space_group_name_H-M_alt 'C 1 m 1'
_space_group_IT_number 8
_space_group_name_Hall 'C -2y'
loop_
_atom_site_label
_atom_site_type_symbol
_atom_site_fract_x
_atom_site_fract_y
_atom_site_fract_z
Co1 Co 0.000 0.000 0.000
P1 P 0.125 0.500 0.366
S1 S 0.379 0.000 0.938
N1 N 0.065 0.000 0.541
```

Output
* total magnetization: 0.129 μB per atom
* energy relative to the elements, uncorrected: 0.24 eV/f.u.
* energy above the lowest structure with this stoichiometry: 92 meV/atom